Record 1
HfHgCl3 | PBEsol | relaxed

The structure in POSCAR format:
```
HfHgCl3
1.0
4.938 0.000 0.000
0.000 4.938 0.000
0.000 0.000 4.938
Hf Hg Cl
1 1 3
Cartesian
0.000 0.000 0.000
2.469 2.469 2.469
0.000 2.469 0.000
0.000 0.000 2.469
2.469 0.000 0.000
```

For the size of the total moment, the calculation gives 0.000 μB/atom. The value obtained for the energy is -22.63 eV/cell. For the uncorrected formation energy, the calculation gives -1.107 eV/atom. The space-group type is Pm-3m.

=====

Record 2
TeMoP | PBEsol | relaxed

The structure in POSCAR format:
```
TeMoP
1.0
-2.804 1.326 1.410
-1.063 -3.842 1.499
2.413 2.609 2.347
P Mo Te
1 1 1
Cartesian
1.254 0.458 2.064
0.000 0.000 0.000
-1.306 -1.029 2.487
```

For the size of the total moment, the calculation gives 0.000 μB/atom. As for the energy above the most stable polymorph in this dataset: 0.3094 eV per atom. The value obtained for the energy is -20.50 eV/cell. For the uncorrected formation energy, the calculation gives 0.197 eV/atom. The space-group type is P-6m2.

=====

Record 3
CaNd3 | PBEsol | relaxed

The structure in POSCAR format:
```
CaNd3
1.0
5.873 0.000 0.000
0.000 7.328 0.000
0.000 -3.664 6.346
Ca Nd
2 6
Cartesian
4.405 0.000 4.231
1.468 3.664 2.115
1.468 1.864 5.307
1.468 0.000 2.078
1.468 -1.864 5.307
4.405 1.800 1.039
4.405 3.664 4.268
4.405 5.528 1.039
```

The calculation puts the formation energy at 0.092 eV per atom. For the size of the total moment, the calculation gives 0.000 μB/atom. The value obtained for the energy is -34.53 eV/cell. The space-group type is P6_3/mmc.

=====

Record 4
Y2Cd3 | PBEsol | relaxed

The structure in POSCAR format:
```
Y2Cd3
1.0
-3.926 -4.418 -1.394
4.552 1.255 -3.819
4.102 -3.477 6.207
Cd Y
6 4
Cartesian
0.853 -3.550 -2.232
4.028 -3.868 1.946
-1.298 -4.321 -0.221
1.940 -5.934 1.147
0.613 -3.100 -5.107
4.471 -1.838 -0.004
2.214 -0.768 -2.060
2.373 -5.160 4.229
1.196 -2.837 0.875
-0.848 -5.928 2.506
```

The calculation puts the formation energy at -0.306 eV per atom. For the size of the total moment, the calculation gives 0.000 μB/atom. The value obtained for the energy is -37.53 eV/cell. The space-group type is Fdd2.

=====

Record 5
CrSnN2F | PBEsol | relaxed

The structure in POSCAR format:
```
CrSnN2F
1.0
4.021 0.000 0.000
0.000 4.084 0.000
0.000 0.000 4.084
Cr N Sn F
1 2 1 1
Cartesian
2.010 2.042 2.042
0.000 0.000 2.042
0.000 2.042 0.000
0.000 0.000 0.000
2.010 0.000 0.000
```

For the size of the total moment, the calculation gives 0.628 μB/atom. The value obtained for the energy is -31.29 eV/cell. For the uncorrected formation energy, the calculation gives 0.439 eV/atom. The space-group type is P4/mmm.

=====

Record 6
Ag3P2O8 | PBEsol | relaxed

The structure in POSCAR format:
```
Ag3P2O8
1.0
5.754 0.143 0.135
0.492 5.735 0.135
0.492 0.463 5.718
Ag P O
3 2 8
Cartesian
3.642 1.946 5.737
2.163 5.929 3.184
6.049 3.281 1.615
0.146 0.138 0.130
3.232 3.041 2.872
5.969 5.617 5.304
1.890 1.036 5.002
4.157 2.088 3.644
2.337 3.868 3.807
4.003 3.921 1.877
2.221 2.090 1.974
5.159 1.580 0.748
1.149 5.098 1.535
```

For the size of the total moment, the calculation gives 0.000 μB/atom. The value obtained for the energy is -78.66 eV/cell. For the uncorrected formation energy, the calculation gives -1.165 eV/atom. The space-group type is R3.

=====

Record 7
CuIr2Pt | PBEsol | relaxed

The structure in POSCAR format:
```
CuIr2Pt
1.0
2.709 0.000 0.000
0.000 4.515 0.000
-1.355 -2.258 4.521
Cu Ir Pt
1 2 1
Cartesian
0.000 2.258 0.000
1.355 2.258 2.115
0.000 0.000 2.406
1.355 0.000 0.000
```

The calculation puts the formation energy at 0.209 eV per atom. For the size of the total moment, the calculation gives 0.000 μB/atom. As for the energy above the most stable polymorph in this dataset: 0.1882 eV per atom. The value obtained for the energy is -30.11 eV/cell. The space-group type is Immm.

=====

Record 8
Ga3FeHg | PBEsol | relaxed

The structure in POSCAR format:
```
Ga3FeHg
1.0
-4.422 2.322 -0.400
-0.441 0.020 4.992
2.315 4.440 0.187
Hg Ga Fe
1 3 1
Cartesian
0.000 0.000 0.000
-0.220 0.010 2.496
1.157 2.220 0.093
-2.211 1.161 -0.200
-1.274 3.391 2.389
```

The calculation puts the formation energy at 1.134 eV per atom. For the size of the total moment, the calculation gives 0.643 μB/atom. The value obtained for the energy is -13.88 eV/cell. The space-group type is Pm-3m.